FeCoCu2Ag: optimized geometry, PBE.

Crystal system: tetragonal
Formation energy, eV/atom: 1.600

Cell: 4.616 4.616 4.729 Å, 90.00 90.00 90.00°
Positions (direct):
1 Fe 0.000 0.000 0.000
2 Co 0.500 0.500 0.000
3 Cu 0.000 0.500 0.500
4 Cu 0.500 0.000 0.500
5 Ag 0.000 0.000 0.500

Co2CuAgH: optimized geometry, PBE.

DFT total energy, eV per atom: -4.63
Crystal system: tetragonal

Cell: 3.663 3.663 4.013 Å, 90.00 90.00 90.00°
Positions (direct):
1 Co 0.000 0.500 0.000
2 Co 0.500 0.000 0.000
3 Cu 0.000 0.000 0.500
4 Ag 0.500 0.500 0.500
5 H 0.000 0.000 0.000

KCoCu2Ag: optimized geometry, PBE.

Crystal system: tetragonal
Formation energy, eV/atom: 0.674

Cell: 4.650 4.650 5.037 Å, 90.00 90.00 90.00°
Positions (direct):
1 K 0.000 0.000 0.000
2 Co 0.500 0.500 0.500
3 Cu 0.000 0.500 0.500
4 Cu 0.500 0.000 0.500
5 Ag 0.500 0.500 0.000

Number 1: calculated volume 20.15 A^3/atom. Number 2: calculated volume 10.77 A^3/atom. Number 3: calculated volume 21.78 A^3/atom.